VASP calculation (PBE) on a relaxed structure of LiTe3PdAu.

The space group is Cmcm (No. 63) and the conventional cell measures 3.967, 13.262 and 11.065 Å, with angles of 90.00, 90.00 and 90.00 degrees. The inequivalent atoms are Li at (0.000, 0.222, 0.250), Te at (0.000, 0.140, 0.511), Te at (0.000, 0.447, 0.750), Pd at (0.000, 0.500, 0.000) and Au at (0.000, 0.136, 0.750).

For the energy, the calculation gives -3.62 eV/atom.


VASP calculation (PBE) on a relaxed structure of MgInCuNi.

The space group is F-43m (No. 216) and the conventional cell measures 6.254, 6.254 and 6.254 Å, with angles of 90.00, 90.00 and 90.00 degrees. The inequivalent atoms are Mg at (0.000, 0.000, 0.000), In at (0.000, 0.000, 0.500), Cu at (0.250, 0.250, 0.750) and Ni at (0.250, 0.250, 0.250).

For the energy, the calculation gives -3.54 eV/atom.